VASP calculation (PBE) on BaCaRe2Cl after structural relaxation.

a b c (Å): 5.5444 5.2806 5.5444
angles (deg): 90.00 90.00 90.00
Last column: nearest neighbours and their distance in Å.
Element x y z (fractional)
Re 0.0000 0.0000 0.5000  2 Ca 2.77
Re 0.5000 0.0000 0.0000  2 Ca 2.77
Ca 0.0000 0.0000 0.0000  2 Cl 2.64, 4 Re 2.77
Ba 0.5000 0.5000 0.5000  8 Re 3.83, 4 Cl 3.92
Cl 0.0000 0.5000 0.0000  2 Ca 2.64

Properties
ρ: 6.0 Mg/m³
formation energy without anion corrections: 7.57 eV per formula unit
symmetry: P4/mmm (123)
E: -23.1 eV per formula unit
magnetization: 7.03 μB per cell